Entry 1:
Compound: Cs3Cd2Hg
Source: Alexandria
Functional: PBE
Structure: optimized geometry

Output
As for the density of states at the Fermi level: 8.71 states/eV/cell. As for the volume: 55.2 A^3/atom. The total DFT energy (no corrections) comes out at -10.492 eV for the cell shown.

Cell lengths 8.637, 8.637, 9.125 Å; angles 99.42, 99.42, 86.80 degrees
Fractional positions:
Cs (0.135, 0.865, 0.750)
Cs (0.252, 0.385, 0.014)
Cs (0.385, 0.252, 0.514)
Cs (0.615, 0.748, 0.486)
Cs (0.748, 0.615, 0.986)
Cs (0.865, 0.135, 0.250)
Cd (0.041, 0.564, 0.370)
Cd (0.436, 0.959, 0.130)
Cd (0.564, 0.041, 0.870)
Cd (0.959, 0.436, 0.630)
Hg (0.194, 0.806, 0.250)
Hg (0.806, 0.194, 0.750)

Entry 2:
Compound: Cs2Cd2Hg7
Source: Alexandria
Functional: PBE
Structure: optimized geometry

Output
As for the density of states at the Fermi level: 4.32 states/eV/cell. As for the volume: 37.6 A^3/atom. The total DFT energy (no corrections) comes out at -7.024 eV for the cell shown.

Cell lengths 9.457, 9.457, 9.457 Å; angles 149.42, 98.59, 89.41 degrees
Fractional positions:
Cs (0.204, 0.000, 0.204)
Cs (0.796, 0.000, 0.796)
Cd (0.377, 0.877, 0.500)
Cd (0.623, 0.123, 0.500)
Hg (0.040, 0.721, 0.319)
Hg (0.227, 0.227, 0.000)
Hg (0.402, 0.721, 0.681)
Hg (0.500, 0.500, 0.000)
Hg (0.598, 0.279, 0.319)
Hg (0.773, 0.773, 0.000)
Hg (0.960, 0.279, 0.681)

Number 1: calculated formation energy -0.092 eV/atom. Number 2: calculated formation energy -0.125 eV/atom.